Density functional theory data (GGA-PBE) for an optimized crystal structure of KScTa2.

Energy above the lowest structure with this stoichiometry ... 2.41 eV per formula unit
Energy of formation from the pure elements ... 4.6 eV per formula unit
Calculated total energy ... -26.49 eV/cell

Lattice parameters (Å, degrees): 3.263 4.785 5.657 90.00 90.00 90.00
Atoms (fractional coordinates):
K 0.500 0.000 0.500
Ta 0.500 0.500 0.000
Ta 0.000 0.000 0.000
Sc 0.000 0.500 0.500

***

Density functional theory data (GGA-PBE) for an optimized crystal structure of Cs5CdH8.

Calculated total energy ... -31.31 eV/cell

Lattice parameters (Å, degrees): 7.967 7.967 7.967 112.58 103.42 112.58
Each line ends with the local moment (μB).
Atoms (fractional coordinates):
Cs 0.500 0.000 0.500  0.01
Cs 0.835 0.860 0.241  0.01
Cs 0.759 0.594 0.619  0.01
Cs 0.025 0.406 0.165  0.01
Cs 0.381 0.140 0.975  0.01
H 0.716 0.202 0.308  0.01
H 0.177 0.663 0.911  0.08
H 0.089 0.266 0.752  0.08
H 0.248 0.337 0.514  0.08
H 0.692 0.408 0.894  0.01
H 0.486 0.592 0.284  0.01
H 0.106 0.798 0.514  0.01
H 0.486 0.734 0.823  0.08
Cd 0.250 0.500 0.750  0.08